Entry 1:
{"formula": "ScTa2Sb", "functional": "PBE", "state": "relaxed", "raw_formation_energy_ev_per_atom": -0.113, "sg": "P4/mmm (123)", "lattice": [[4.0892, 0.0000, 0.0000], [0.0000, 4.0892, 0.0000], [0.0000, 0.0000, 4.6850]], "species": ["Sc", "Ta", "Ta", "Sb"], "fractional_positions": [[0.0000, 0.0000, 0.0000], [0.0000, 0.5000, 0.5000], [0.5000, 0.0000, 0.5000], [0.5000, 0.5000, 0.0000]]}

---

Entry 2:
{"formula": "Ba2ZrSe4", "functional": "PBE", "state": "relaxed", "raw_formation_energy_ev_per_atom": -1.714, "sg": "P2_1/m (11)", "lattice": [[7.5668, 0.0000, 0.0000], [0.0000, 7.3335, 0.0000], [-2.9338, 0.0000, 8.7670]], "species": ["Ba", "Ba", "Ba", "Ba", "Zr", "Zr", "Se", "Se", "Se", "Se", "Se", "Se", "Se", "Se"], "fractional_positions": [[0.2137, 0.2500, 0.0506], [0.2687, 0.2500, 0.5668], [0.7313, 0.7500, 0.4332], [0.7863, 0.7500, 0.9494], [0.2319, 0.7500, 0.8009], [0.7681, 0.2500, 0.1991], [0.9998, 0.0103, 0.7374], [0.9998, 0.4897, 0.7374], [0.0002, 0.5103, 0.2626], [0.0002, 0.9897, 0.2626], [0.4128, 0.7500, 0.0823], [0.4308, 0.7500, 0.6261], [0.5692, 0.2500, 0.3739], [0.5872, 0.2500, 0.9177]]}

---

Entry 3:
{"formula": "YSnAu2Se", "functional": "PBE", "state": "relaxed", "raw_formation_energy_ev_per_atom": 0.567, "sg": "P4/mmm (123)", "lattice": [[5.3115, 0.0000, 0.0000], [0.0000, 5.3115, 0.0000], [0.0000, 0.0000, 6.2359]], "species": ["Y", "Sn", "Au", "Au", "Se"], "fractional_positions": [[0.0000, 0.0000, 0.0000], [0.0000, 0.0000, 0.5000], [0.0000, 0.5000, 0.0000], [0.5000, 0.0000, 0.0000], [0.5000, 0.5000, 0.5000]]}

---

Entry 4:
{"formula": "Tb2Pr3NdEr6", "functional": "PBE", "state": "relaxed", "e_form_kj_per_mol_fu": 20, "sg": "C2/m (12)", "lattice": [[3.1099, -5.3848, 0.0000], [3.1099, 5.3848, 0.0000], [-2.0654, 0.0000, 11.5913]], "species": ["Tb", "Tb", "Pr", "Pr", "Pr", "Nd", "Er", "Er", "Er", "Er", "Er", "Er"], "fractional_positions": [[0.1668, 0.8332, 0.0000], [0.8332, 0.1668, 0.0000], [0.0000, 0.0000, 0.5000], [0.3333, 0.6667, 0.5000], [0.6667, 0.3333, 0.5000], [0.5000, 0.5000, 0.0000], [0.0837, 0.4175, 0.7527], [0.2487, 0.2487, 0.2473], [0.4175, 0.0837, 0.7527], [0.5825, 0.9163, 0.2473], [0.7513, 0.7513, 0.7527], [0.9163, 0.5825, 0.2473]]}

---

Entry 5:
{"formula": "ZrTaGaH2", "functional": "PBE", "state": "relaxed", "e_tot_ev_per_atom": -5.484, "sg": "P4/mmm (123)", "lattice": [[3.8111, 0.0000, 0.0000], [0.0000, 3.8111, 0.0000], [0.0000, 0.0000, 5.4633]], "species": ["Zr", "Ta", "Ga", "H", "H"], "fractional_positions": [[0.0000, 0.0000, 0.0000], [0.0000, 0.0000, 0.5000], [0.5000, 0.5000, 0.0000], [0.0000, 0.5000, 0.5000], [0.5000, 0.0000, 0.5000]]}

---

Entry 6:
{"formula": "DyEr2Ga2", "functional": "PBE", "state": "relaxed", "e_form_kj_per_mol_fu": -183, "sg": "C2/m (12)", "polymorph_energy_ev_per_atom": 0.130, "lattice": [[6.2021, -1.8309, 0.0000], [6.2021, 1.8309, 0.0000], [-1.2652, 0.0000, 5.6732]], "species": ["Dy", "Er", "Er", "Ga", "Ga"], "fractional_positions": [[0.0000, 0.0000, 0.0000], [0.3627, 0.3627, 0.4288], [0.6373, 0.6373, 0.5712], [0.2970, 0.2970, 0.8858], [0.7030, 0.7030, 0.1142]]}

---

Entry 7:
{"formula": "Li2Cd3Cl8", "functional": "PBE", "state": "relaxed", "raw_formation_energy_ev_per_atom": -1.296, "sg": "C2/m (12)", "lattice": [[6.5357, -3.9210, 0.0000], [6.5357, 3.9210, 0.0000], [-2.4116, 0.0000, 6.2718]], "species": ["Li", "Li", "Cd", "Cd", "Cd", "Cl", "Cl", "Cl", "Cl", "Cl", "Cl", "Cl", "Cl"], "fractional_positions": [[0.1710, 0.1710, 0.1270], [0.8290, 0.8290, 0.8730], [0.2373, 0.7627, 0.5000], [0.5000, 0.5000, 0.0000], [0.7627, 0.2373, 0.5000], [0.1253, 0.1253, 0.7457], [0.1416, 0.6216, 0.7438], [0.3781, 0.3781, 0.2543], [0.3784, 0.8584, 0.2562], [0.6216, 0.1416, 0.7438], [0.6219, 0.6219, 0.7457], [0.8584, 0.3784, 0.2562], [0.8747, 0.8747, 0.2543]]}

---

Entry 8:
{"formula": "Sm2AlCu", "functional": "PBE", "state": "relaxed", "e_form_kj_per_mol_fu": -104, "sg": "P4/mmm (123)", "lattice": [[3.5452, 0.0000, 0.0000], [0.0000, 3.5452, 0.0000], [0.0000, 0.0000, 7.5292]], "species": ["Sm", "Sm", "Al", "Cu"], "fractional_positions": [[0.0000, 0.0000, 0.2379], [0.0000, 0.0000, 0.7621], [0.5000, 0.5000, 0.5000], [0.5000, 0.5000, 0.0000]]}

---

Entry 9:
{"formula": "Nd5ScTl4", "functional": "PBE", "state": "relaxed", "e_form_kj_per_mol_fu": -274, "sg": "P4/mmm (123)", "lattice": [[3.7556, 0.0000, 0.0000], [0.0000, 3.7556, 0.0000], [0.0000, 0.0000, 21.2857]], "species": ["Nd", "Nd", "Nd", "Nd", "Nd", "Sc", "Tl", "Tl", "Tl", "Tl"], "fractional_positions": [[0.0000, 0.0000, 0.0000], [0.0000, 0.0000, 0.2000], [0.0000, 0.0000, 0.3980], [0.0000, 0.0000, 0.6020], [0.0000, 0.0000, 0.8000], [0.5000, 0.5000, 0.5000], [0.5000, 0.5000, 0.1004], [0.5000, 0.5000, 0.2999], [0.5000, 0.5000, 0.7001], [0.5000, 0.5000, 0.8996]]}

---

Entry 10:
{"formula": "SrLiF3", "functional": "PBE", "state": "relaxed", "raw_formation_energy_ev_per_atom": -3.477, "sg": "Pnma (62)", "lattice": [[6.1208, 0.0000, 0.0000], [0.0000, 3.8494, 0.0000], [0.0000, 0.0000, 10.8410]], "species": ["Sr", "Sr", "Sr", "Sr", "Li", "Li", "Li", "Li", "F", "F", "F", "F", "F", "F", "F", "F", "F", "F", "F", "F"], "fractional_positions": [[0.0396, 0.2500, 0.1582], [0.4604, 0.7500, 0.6582], [0.5396, 0.2500, 0.3418], [0.9604, 0.7500, 0.8418], [0.0144, 0.2500, 0.5825], [0.4856, 0.7500, 0.0825], [0.5144, 0.2500, 0.9175], [0.9856, 0.7500, 0.4175], [0.0496, 0.7500, 0.6086], [0.1602, 0.7500, 0.0354], [0.2463, 0.2500, 0.7931], [0.2537, 0.7500, 0.2931], [0.3398, 0.2500, 0.5354], [0.4504, 0.2500, 0.1086], [0.5496, 0.7500, 0.8914], [0.6602, 0.7500, 0.4646], [0.7463, 0.2500, 0.7069], [0.7537, 0.7500, 0.2069], [0.8398, 0.2500, 0.9646], [0.9504, 0.2500, 0.3914]]}

---

Entry 11:
{"formula": "Hf3Hg2I9", "functional": "PBE", "state": "relaxed", "raw_formation_energy_ev_per_atom": -0.578, "sg": "C2/m (12)", "lattice": [[5.9182, -10.8394, 0.0000], [5.9182, 10.8394, 0.0000], [-4.9568, 0.0000, 10.0910]], "species": ["Hf", "Hf", "Hf", "Hf", "Hf", "Hf", "Hg", "Hg", "Hg", "Hg", "I", "I", "I", "I", "I", "I", "I", "I", "I", "I", "I", "I", "I", "I", "I", "I", "I", "I"], "fractional_positions": [[0.0642, 0.2412, 0.6585], [0.1281, 0.1281, 0.3564], [0.2412, 0.0642, 0.6585], [0.7588, 0.9358, 0.3415], [0.8719, 0.8719, 0.6436], [0.9358, 0.7588, 0.3415], [0.2073, 0.5522, 0.2259], [0.4478, 0.7927, 0.7741], [0.5522, 0.2073, 0.2259], [0.7927, 0.4478, 0.7741], [0.0706, 0.8827, 0.1782], [0.1173, 0.9294, 0.8218], [0.1341, 0.4911, 0.8241], [0.1878, 0.8122, 0.5000], [0.2083, 0.3946, 0.5155], [0.2656, 0.2656, 0.2075], [0.3243, 0.3243, 0.8360], [0.3946, 0.2083, 0.5155], [0.4911, 0.1341, 0.8241], [0.5089, 0.8659, 0.1759], [0.6054, 0.7917, 0.4845], [0.6757, 0.6757, 0.1640], [0.7344, 0.7344, 0.7925], [0.7917, 0.6054, 0.4845], [0.8122, 0.1878, 0.5000], [0.8659, 0.5089, 0.1759], [0.8827, 0.0706, 0.1782], [0.9294, 0.1173, 0.8218]]}

---

Entry 12:
{"formula": "Pr4MgIn15", "functional": "PBE", "state": "relaxed", "e_form_kj_per_mol_fu": -732, "sg": "P4/mmm (123)", "lattice": [[4.7350, 0.0000, 0.0000], [0.0000, 4.7350, 0.0000], [0.0000, 0.0000, 23.4101]], "species": ["Pr", "Pr", "Pr", "Pr", "Mg", "In", "In", "In", "In", "In", "In", "In", "In", "In", "In", "In", "In", "In", "In", "In"], "fractional_positions": [[0.0000, 0.0000, 0.1016], [0.0000, 0.0000, 0.3036], [0.0000, 0.0000, 0.6964], [0.0000, 0.0000, 0.8984], [0.0000, 0.0000, 0.5000], [0.0000, 0.5000, 0.0000], [0.0000, 0.5000, 0.2025], [0.0000, 0.5000, 0.4068], [0.0000, 0.5000, 0.5932], [0.0000, 0.5000, 0.7975], [0.5000, 0.0000, 0.0000], [0.5000, 0.0000, 0.2025], [0.5000, 0.0000, 0.4068], [0.5000, 0.0000, 0.5932], [0.5000, 0.0000, 0.7975], [0.5000, 0.5000, 0.1013], [0.5000, 0.5000, 0.2999], [0.5000, 0.5000, 0.5000], [0.5000, 0.5000, 0.7001], [0.5000, 0.5000, 0.8987]]}

---

Entry 13:
{"formula": "CrAs2Pb", "functional": "PBE", "state": "relaxed", "e_form_kj_per_mol_fu": 203, "sg": "F-43m (216)", "lattice": [[0.0000, 3.5048, 3.5048], [3.5048, 0.0000, 3.5048], [3.5048, 3.5048, 0.0000]], "species": ["Cr", "As", "As", "Pb"], "fractional_positions": [[0.0000, 0.0000, 0.0000], [0.2500, 0.2500, 0.2500], [0.5000, 0.5000, 0.5000], [0.7500, 0.7500, 0.7500]]}

---

Entry 14:
{"formula": "Rb2CaTaNb", "functional": "PBE", "state": "relaxed", "e_form_kj_per_mol_fu": 1276, "sg": "P4/mmm (123)", "lattice": [[6.0922, 0.0000, 0.0000], [0.0000, 6.0922, 0.0000], [0.0000, 0.0000, 5.7833]], "species": ["Rb", "Rb", "Ca", "Ta", "Nb"], "fractional_positions": [[0.0000, 0.5000, 0.0000], [0.5000, 0.0000, 0.0000], [0.0000, 0.0000, 0.5000], [0.0000, 0.0000, 0.0000], [0.5000, 0.5000, 0.5000]]}

---

Entry 15:
{"formula": "RhAuN2F", "functional": "PBE", "state": "relaxed", "raw_formation_energy_ev_per_atom": 0.948, "sg": "P4/mmm (123)", "polymorph_energy_ev_per_atom": 0.000, "lattice": [[3.8691, 0.0000, 0.0000], [0.0000, 3.8691, 0.0000], [0.0000, 0.0000, 4.3088]], "species": ["Rh", "Au", "N", "N", "F"], "fractional_positions": [[0.0000, 0.0000, 0.0000], [0.5000, 0.5000, 0.5000], [0.0000, 0.5000, 0.0000], [0.5000, 0.0000, 0.0000], [0.0000, 0.0000, 0.5000]]}

---

Entry 16:
{"formula": "CaSiGeO5", "functional": "PBE", "state": "relaxed", "raw_formation_energy_ev_per_atom": -2.496, "sg": "C2/c (15)", "lattice": [[3.2896, -4.3543, 0.0000], [3.2896, 4.3543, 0.0000], [-2.7545, 0.0000, 6.2736]], "species": ["Ca", "Ca", "Si", "Si", "Ge", "Ge", "O", "O", "O", "O", "O", "O", "O", "O", "O", "O"], "fractional_positions": [[0.1676, 0.8324, 0.7500], [0.8324, 0.1676, 0.2500], [0.1839, 0.8161, 0.2500], [0.8161, 0.1839, 0.7500], [0.5000, 0.5000, 0.0000], [0.5000, 0.5000, 0.5000], [0.1218, 0.2538, 0.9135], [0.1915, 0.6061, 0.3879], [0.2538, 0.1218, 0.4135], [0.3939, 0.8085, 0.1121], [0.4275, 0.5725, 0.7500], [0.5725, 0.4275, 0.2500], [0.6061, 0.1915, 0.8879], [0.7462, 0.8782, 0.5865], [0.8085, 0.3939, 0.6121], [0.8782, 0.7462, 0.0865]]}

---

Entry 17:
{"formula": "NaTc2Sb2", "functional": "PBE", "state": "relaxed", "raw_formation_energy_ev_per_atom": 0.074, "sg": "I4/mmm (139)", "polymorph_energy_ev_per_atom": 0.000, "lattice": [[-1.9351, 1.9351, 7.9781], [1.9351, -1.9351, 7.9781], [1.9351, 1.9351, -7.9781]], "species": ["Na", "Tc", "Tc", "Sb", "Sb"], "fractional_positions": [[0.0000, 0.0000, 0.0000], [0.2500, 0.7500, 0.5000], [0.7500, 0.2500, 0.5000], [0.3695, 0.3695, 0.0000], [0.6305, 0.6305, 0.0000]]}

---

Entry 18:
{"formula": "Sc6C2S3N", "functional": "PBE", "state": "relaxed", "raw_formation_energy_ev_per_atom": -1.531, "sg": "C2/m (12)", "lattice": [[2.9718, -5.1441, 0.0000], [2.9718, 5.1441, 0.0000], [-1.9813, 0.0000, 5.8841]], "species": ["Sc", "Sc", "Sc", "Sc", "Sc", "Sc", "C", "C", "S", "S", "S", "N"], "fractional_positions": [[0.0977, 0.4310, 0.7929], [0.2357, 0.2357, 0.2076], [0.4310, 0.0977, 0.7929], [0.5690, 0.9023, 0.2071], [0.7643, 0.7643, 0.7924], [0.9023, 0.5690, 0.2071], [0.1668, 0.8332, 0.0000], [0.8332, 0.1668, 0.0000], [0.0000, 0.0000, 0.5000], [0.3332, 0.6668, 0.5000], [0.6668, 0.3332, 0.5000], [0.5000, 0.5000, 0.0000]]}

---

Entry 19:
{"formula": "K6I2Br3", "functional": "PBE", "state": "relaxed", "raw_formation_energy_ev_per_atom": -1.449, "sg": "C2/m (12)", "lattice": [[4.2101, -7.2912, 0.0000], [4.2101, 7.2912, 0.0000], [-2.8097, 0.0000, 8.0220]], "species": ["K", "K", "K", "K", "K", "K", "I", "I", "Br", "Br", "Br"], "fractional_positions": [[0.0884, 0.4169, 0.7652], [0.2402, 0.2402, 0.2348], [0.4169, 0.0884, 0.7652], [0.5831, 0.9116, 0.2348], [0.7598, 0.7598, 0.7652], [0.9116, 0.5831, 0.2348], [0.3334, 0.6666, 0.5000], [0.6666, 0.3334, 0.5000], [0.1671, 0.8329, 0.0000], [0.5000, 0.5000, 0.0000], [0.8329, 0.1671, 0.0000]]}

---

Entry 20:
{"formula": "Mg2Sc5CdCu2", "functional": "PBE", "state": "relaxed", "e_form_kj_per_mol_fu": -117, "sg": "P4/mbm (127)", "lattice": [[11.2447, 0.0000, 0.0000], [0.0000, 11.2447, 0.0000], [0.0000, 0.0000, 3.4555]], "species": ["Mg", "Mg", "Mg", "Mg", "Sc", "Sc", "Sc", "Sc", "Sc", "Sc", "Sc", "Sc", "Sc", "Sc", "Cd", "Cd", "Cu", "Cu", "Cu", "Cu"], "fractional_positions": [[0.1763, 0.3237, 0.0000], [0.3237, 0.8237, 0.0000], [0.6763, 0.1763, 0.0000], [0.8237, 0.6763, 0.0000], [0.0000, 0.5000, 0.5000], [0.0668, 0.7930, 0.5000], [0.2070, 0.0668, 0.5000], [0.2930, 0.5668, 0.5000], [0.4332, 0.2930, 0.5000], [0.5000, 0.0000, 0.5000], [0.5668, 0.7070, 0.5000], [0.7070, 0.4332, 0.5000], [0.7930, 0.9332, 0.5000], [0.9332, 0.2070, 0.5000], [0.0000, 0.0000, 0.0000], [0.5000, 0.5000, 0.0000], [0.1271, 0.6271, 0.0000], [0.3729, 0.1271, 0.0000], [0.6271, 0.8729, 0.0000], [0.8729, 0.3729, 0.0000]]}